DFT (GGA+U) results for a relaxed structure of MnVCrF6.

crystal system = trigonal
D(E_F) = 6.1 states/eV/f.u.
calculated total energy = -6.265 eV per atom

a = 5.4584 Å, b = 5.4584 Å, c = 9.2076 Å
α = 90.00°, β = 90.00°, γ = 120.00°
Closest atoms and distances in Å follow each position.
Space group P-31c (No. 163)
One atom of each set of equivalent atoms:
Mn  0.3333  0.6667  0.2500 x2  6 F 2.15
V  0.3333  0.6667  0.7500 x2  6 F 2.12
Cr  0.0000  0.0000  0.0000 x2  6 F 2.17
F  0.0036  0.3345  0.6294 x12  1 V 2.12, 1 Mn 2.15, 1 Cr 2.17